The following is a DFT calculation (GGA+U) of crystalline FePd2F at its relaxed geometry.

Geometry as extended XYZ:
```
8
Lattice="-4.915 -3.841 2.606 0.005 -3.800 -5.591 -0.630 -5.418 -0.405" Properties=species:S:1:pos:R:3 pbc="T T T"
Fe 0.000 0.000 0.000
Fe -4.000 -6.540 0.354
Pd -3.107 -4.135 0.764
Pd -0.891 -4.305 -3.205
Pd -2.314 -7.023 -1.562
Pd -4.769 -10.655 -2.777
F -2.455 -3.821 -1.492
F -1.540 -6.519 -3.744
```

Values from the calculation:
V   15.18 A^3/atom
Calculated density   7.9 g cm⁻³
DFT total energy   -4.62 eV/atom
Total magnetization   8.3 μB per cell

***

The following is a DFT calculation (GGA+U) of crystalline MnAl2CoF at its relaxed geometry.

Geometry as extended XYZ:
```
5
Lattice="-3.034 1.372 3.399 -1.203 -3.567 0.366 3.338 -0.788 3.298" Properties=species:S:1:pos:R:3 pbc="T T T"
Mn -0.450 -1.491 3.531
Co 0.000 0.000 0.000
Al 1.669 -0.394 1.649
Al -1.517 0.686 1.699
F -0.602 -1.783 0.183
```

Values from the calculation:
V   17.12 A^3/atom
Calculated density   3.6 g cm⁻³
DFT total energy   -4.29 eV/atom
Total magnetization   5.3 μB per cell